CePuMgTc GGA-PBE optimized geometry; magnetic moment = 23.01 μB per cell; volume = 358.0 Å³ per cell; energy = -7.895 eV/atom
1.0
7.100 0.000 0.000
0.000 7.100 0.000
0.000 0.000 7.100
Ce Pu Mg Tc
4 4 4 4
direct
0.000 0.000 0.000 Ce
0.000 0.500 0.500 Ce
0.500 0.000 0.500 Ce
0.500 0.500 0.000 Ce
0.000 0.000 0.500 Pu
0.000 0.500 0.000 Pu
0.500 0.000 0.000 Pu
0.500 0.500 0.500 Pu
0.250 0.250 0.250 Mg
0.250 0.750 0.750 Mg
0.750 0.250 0.750 Mg
0.750 0.750 0.250 Mg
0.250 0.250 0.750 Tc
0.250 0.750 0.250 Tc
0.750 0.250 0.250 Tc
0.750 0.750 0.750 Tc